[1]
Li8Ca2Mg: optimized geometry, PBE.

CIF file:
```
data_Li8Ca2Mg
_chemical_formula_sum 'Li16 Ca4 Mg2'
_symmetry_space_group_name_H-M 'C 1 2/m 1'
_symmetry_Int_Tables_number 12
_cell_length_a 15.0253
_cell_length_b 5.1076
_cell_length_c 7.8650
_cell_angle_alpha 90.00
_cell_angle_beta 118.20
_cell_angle_gamma 90.00
loop_
_symmetry_equiv_pos_as_xyz
'x,y,z'
'-x,-y,-z'
'-x,y,-z'
'x,-y,z'
'x+1/2,y+1/2,z'
'-x+1/2,-y+1/2,-z'
'-x+1/2,y+1/2,-z'
'x+1/2,-y+1/2,z'
loop_
_atom_site_label
_atom_site_fract_x
_atom_site_fract_y
_atom_site_fract_z
_atom_site_occupancy
Li1 0.0260 0.0000 0.2255 1
Li2 0.0670 0.5000 0.9222 1
Li3 0.1243 0.0000 0.6315 1
Li4 0.1670 0.5000 0.3734 1
Ca1 0.2255 0.0000 0.1500 1
Mg1 0.0000 0.5000 0.5000 1
```

## Properties
For the total energy, the calculation gives -1.89 eV per atom. The density of states at the Fermi level comes out at 12.96 states/eV/cell. The formation energy comes out at 0.13 eV per formula unit.

***

[2]
LiCa5Mg: optimized geometry, PBE.

CIF file:
```
data_LiCa5Mg
_chemical_formula_sum 'Li4 Ca20 Mg4'
_symmetry_space_group_name_H-M 'C 1 2/c 1'
_symmetry_Int_Tables_number 15
_cell_length_a 13.2195
_cell_length_b 6.8491
_cell_length_c 11.7851
_cell_angle_alpha 90.00
_cell_angle_beta 100.64
_cell_angle_gamma 90.00
loop_
_symmetry_equiv_pos_as_xyz
'x,y,z'
'-x,-y,-z'
'-x,y,-z+1/2'
'x,-y,z+1/2'
'x+1/2,y+1/2,z'
'-x+1/2,-y+1/2,-z'
'-x+1/2,y+1/2,-z+1/2'
'x+1/2,-y+1/2,z+1/2'
loop_
_atom_site_label
_atom_site_fract_x
_atom_site_fract_y
_atom_site_fract_z
_atom_site_occupancy
Li1 0.0000 0.0000 0.0000 1
Ca1 0.0000 0.1969 0.2500 1
Ca2 0.1332 0.4058 0.0177 1
Ca3 0.2156 0.1312 0.6779 1
Mg1 0.0000 0.3192 0.7500 1
```

## Properties
For the total energy, the calculation gives -1.82 eV per atom. The density of states at the Fermi level comes out at 30.29 states/eV/cell. The formation energy comes out at 0.76 eV per formula unit.

***

[3]
LiCa2Mg2: optimized geometry, PBE.

CIF file:
```
data_LiCa2Mg2
_chemical_formula_sum 'Li2 Ca4 Mg4'
_symmetry_space_group_name_H-M 'P 4/m b m'
_symmetry_Int_Tables_number 127
_symmetry_space_group_name_Hall '-P 4 2ab'
_cell_length_a 9.4075
_cell_length_b 9.4075
_cell_length_c 3.7036
_cell_angle_alpha 90.00
_cell_angle_beta 90.00
_cell_angle_gamma 90.00
loop_
_atom_site_label
_atom_site_fract_x
_atom_site_fract_y
_atom_site_fract_z
_atom_site_occupancy
Li1 0.0000 0.0000 0.0000 1
Ca1 0.1407 0.3593 0.0000 1
Mg1 0.1541 0.6541 0.5000 1
```

## Properties
For the total energy, the calculation gives -1.69 eV per atom. The density of states at the Fermi level comes out at 8.57 states/eV/cell. For the energy relative to the lowest polymorph listed for this composition, the calculation gives 0.146 eV per atom. The formation energy comes out at 0.66 eV per formula unit.

***

[4]
LiCa2Mg3: optimized geometry, PBE.

CIF file:
```
data_LiCa2Mg3
_chemical_formula_sum 'Li2 Ca4 Mg6'
_symmetry_space_group_name_H-M 'C 1 2/m 1'
_symmetry_Int_Tables_number 12
_cell_length_a 10.5858
_cell_length_b 6.2006
_cell_length_c 6.1884
_cell_angle_alpha 90.00
_cell_angle_beta 124.37
_cell_angle_gamma 90.00
loop_
_symmetry_equiv_pos_as_xyz
'x,y,z'
'-x,-y,-z'
'-x,y,-z'
'x,-y,z'
'x+1/2,y+1/2,z'
'-x+1/2,-y+1/2,-z'
'-x+1/2,y+1/2,-z'
'x+1/2,-y+1/2,z'
loop_
_atom_site_label
_atom_site_fract_x
_atom_site_fract_y
_atom_site_fract_z
_atom_site_occupancy
Li1 0.0000 0.0000 0.0000 1
Ca1 0.1243 0.5000 0.3760 1
Mg1 0.0000 0.0000 0.5000 1
Mg2 0.2500 0.2500 0.0000 1
```

## Properties
For the total energy, the calculation gives -1.88 eV per atom. The density of states at the Fermi level comes out at 8.24 states/eV/cell. The formation energy comes out at -0.60 eV per formula unit.

***

[5]
Li6Ca5Mg: optimized geometry, PBE.

CIF file:
```
data_Li6Ca5Mg
_chemical_formula_sum 'Li12 Ca10 Mg2'
_symmetry_space_group_name_H-M 'C 1 2/m 1'
_symmetry_Int_Tables_number 12
_cell_length_a 9.4342
_cell_length_b 16.4974
_cell_length_c 5.5891
_cell_angle_alpha 90.00
_cell_angle_beta 126.09
_cell_angle_gamma 90.00
loop_
_symmetry_equiv_pos_as_xyz
'x,y,z'
'-x,-y,-z'
'-x,y,-z'
'x,-y,z'
'x+1/2,y+1/2,z'
'-x+1/2,-y+1/2,-z'
'-x+1/2,y+1/2,-z'
'x+1/2,-y+1/2,z'
loop_
_atom_site_label
_atom_site_fract_x
_atom_site_fract_y
_atom_site_fract_z
_atom_site_occupancy
Li1 0.2090 0.0000 0.2091 1
Li2 0.2261 0.1541 0.7255 1
Ca1 0.0000 0.1793 0.0000 1
Ca2 0.0000 0.3383 0.5000 1
Ca3 0.0000 0.5000 0.0000 1
Mg1 0.0000 0.0000 0.5000 1
```

## Properties
For the total energy, the calculation gives -1.91 eV per atom. The density of states at the Fermi level comes out at 18.45 states/eV/cell. The formation energy comes out at 0.22 eV per formula unit.

***

[6]
Li2Ca4Mg3: optimized geometry, PBE.

CIF file:
```
data_Li2Ca4Mg3
_chemical_formula_sum 'Li4 Ca8 Mg6'
_symmetry_space_group_name_H-M 'C 1 2/m 1'
_symmetry_Int_Tables_number 12
_cell_length_a 9.5283
_cell_length_b 5.5011
_cell_length_c 10.2817
_cell_angle_alpha 90.00
_cell_angle_beta 90.02
_cell_angle_gamma 90.00
loop_
_symmetry_equiv_pos_as_xyz
'x,y,z'
'-x,-y,-z'
'-x,y,-z'
'x,-y,z'
'x+1/2,y+1/2,z'
'-x+1/2,-y+1/2,-z'
'-x+1/2,y+1/2,-z'
'x+1/2,-y+1/2,z'
loop_
_atom_site_label
_atom_site_fract_x
_atom_site_fract_y
_atom_site_fract_z
_atom_site_occupancy
Li1 0.1671 0.0000 0.2279 1
Ca1 0.0003 0.5000 0.3301 1
Ca2 0.1665 0.0000 0.8854 1
Mg1 0.0000 0.5000 0.0000 1
Mg2 0.1666 0.0000 0.5250 1
```

## Properties
For the total energy, the calculation gives -1.88 eV per atom. The density of states at the Fermi level comes out at 15.80 states/eV/cell. The formation energy comes out at -0.31 eV per formula unit.

***

[7]
Li5Ca2Mg5: optimized geometry, PBE.

CIF file:
```
data_Li5Ca2Mg5
_chemical_formula_sum 'Li5 Ca2 Mg5'
_symmetry_space_group_name_H-M 'P m m m'
_symmetry_Int_Tables_number 47
_cell_length_a 4.7857
_cell_length_b 6.0527
_cell_length_c 10.3965
_cell_angle_alpha 90.00
_cell_angle_beta 90.00
_cell_angle_gamma 90.00
loop_
_symmetry_equiv_pos_as_xyz
'x,y,z'
'-x,-y,-z'
'-x,-y,z'
'x,y,-z'
'x,-y,-z'
'-x,y,z'
'-x,y,-z'
'x,-y,z'
loop_
_atom_site_label
_atom_site_fract_x
_atom_site_fract_y
_atom_site_fract_z
_atom_site_occupancy
Li1 0.0000 0.0000 0.0000 1
Li2 0.5000 0.0000 0.1628 1
Li3 0.5000 0.5000 0.3327 1
Ca1 0.5000 0.0000 0.5000 1
Ca2 0.5000 0.5000 0.0000 1
Mg1 0.0000 0.2496 0.2442 1
Mg2 0.0000 0.5000 0.5000 1
```

## Properties
For the total energy, the calculation gives -1.82 eV per atom. The density of states at the Fermi level comes out at 6.24 states/eV/cell. For the energy relative to the lowest polymorph listed for this composition, the calculation gives 0.009 eV per atom. The formation energy comes out at -0.26 eV per formula unit.

***

[8]
Li5Ca2Mg5: optimized geometry, PBE.

CIF file:
```
data_Li5Ca2Mg5
_chemical_formula_sum 'Li5 Ca2 Mg5'
_symmetry_space_group_name_H-M 'P m m m'
_symmetry_Int_Tables_number 47
_cell_length_a 4.8974
_cell_length_b 5.9165
_cell_length_c 10.4481
_cell_angle_alpha 90.00
_cell_angle_beta 90.00
_cell_angle_gamma 90.00
loop_
_symmetry_equiv_pos_as_xyz
'x,y,z'
'-x,-y,-z'
'-x,-y,z'
'x,y,-z'
'x,-y,-z'
'-x,y,z'
'-x,y,-z'
'x,-y,z'
loop_
_atom_site_label
_atom_site_fract_x
_atom_site_fract_y
_atom_site_fract_z
_atom_site_occupancy
Li1 0.0000 0.0000 0.0000 1
Li2 0.0000 0.2490 0.2484 1
Ca1 0.5000 0.0000 0.5000 1
Ca2 0.5000 0.5000 0.0000 1
Mg1 0.0000 0.5000 0.5000 1
Mg2 0.5000 0.0000 0.1675 1
Mg3 0.5000 0.5000 0.3241 1
```

## Properties
For the total energy, the calculation gives -1.83 eV per atom. The density of states at the Fermi level comes out at 5.78 states/eV/cell. For the energy relative to the lowest polymorph listed for this composition, the calculation gives 0.000 eV per atom. The formation energy comes out at -0.37 eV per formula unit.

***

[9]
Li4Ca3Mg4: optimized geometry, PBE.

CIF file:
```
data_Li4Ca3Mg4
_chemical_formula_sum 'Li8 Ca6 Mg8'
_symmetry_space_group_name_H-M 'I -4 3 m'
_symmetry_Int_Tables_number 217
_symmetry_space_group_name_Hall 'I -4 2 3'
_cell_length_a 8.5892
_cell_length_b 8.5892
_cell_length_c 8.5892
_cell_angle_alpha 90.00
_cell_angle_beta 90.00
_cell_angle_gamma 90.00
loop_
_atom_site_label
_atom_site_fract_x
_atom_site_fract_y
_atom_site_fract_z
_atom_site_occupancy
Li1 0.1951 0.1951 0.8049 1
Ca1 0.0000 0.0000 0.5000 1
Mg1 0.1261 0.1261 0.1261 1
```

## Properties
For the total energy, the calculation gives -1.76 eV per atom. The density of states at the Fermi level comes out at 12.89 states/eV/cell. The formation energy comes out at 0.63 eV per formula unit.

***

[10]
Li2Ca4Mg: optimized geometry, PBE.

CIF file:
```
data_Li2Ca4Mg
_chemical_formula_sum 'Li6 Ca12 Mg3'
_symmetry_space_group_name_H-M 'R -3 m'
_symmetry_Int_Tables_number 166
_symmetry_space_group_name_Hall '-R 3 2"'
_cell_length_a 5.7416
_cell_length_b 5.7416
_cell_length_c 26.2069
_cell_angle_alpha 90.00
_cell_angle_beta 90.00
_cell_angle_gamma 120.00
loop_
_atom_site_label
_atom_site_fract_x
_atom_site_fract_y
_atom_site_fract_z
_atom_site_occupancy
Li1 0.0000 0.0000 0.1027 1
Ca1 0.0000 0.0000 0.2241 1
Ca2 0.0000 0.0000 0.3720 1
Mg1 0.0000 0.0000 0.0000 1
```

## Properties
For the total energy, the calculation gives -1.77 eV per atom. The density of states at the Fermi level comes out at 24.97 states/eV/cell. For the energy relative to the lowest polymorph listed for this composition, the calculation gives 0.094 eV per atom. The formation energy comes out at 1.01 eV per formula unit.

***

[11]
LiCa2MgN: optimized geometry, PBE.

CIF file:
```
data_LiCa2MgN
_chemical_formula_sum 'Li1 Ca2 Mg1 N1'
_symmetry_space_group_name_H-M 'P 4/m m m'
_symmetry_Int_Tables_number 123
_symmetry_space_group_name_Hall '-P 4 2'
_cell_length_a 4.9469
_cell_length_b 4.9469
_cell_length_c 4.4969
_cell_angle_alpha 90.00
_cell_angle_beta 90.00
_cell_angle_gamma 90.00
loop_
_atom_site_label
_atom_site_fract_x
_atom_site_fract_y
_atom_site_fract_z
_atom_site_occupancy
Li1 0.0000 0.0000 0.0000 1
Ca1 0.0000 0.5000 0.5000 1
Mg1 0.5000 0.5000 0.0000 1
N1 0.0000 0.0000 0.5000 1
```

## Properties
As for the raw formation energy: -1.37 eV/f.u. For the total energy, the calculation gives -3.44 eV per atom. The density of states at the Fermi level comes out at 3.33 states/eV/cell. For the energy relative to the lowest polymorph listed for this composition, the calculation gives 0.052 eV per atom.

***

[12]
LiCa2MgN: optimized geometry, PBE.

CIF file:
```
data_LiCa2MgN
_chemical_formula_sum 'Li1 Ca2 Mg1 N1'
_symmetry_space_group_name_H-M 'P 4/m m m'
_symmetry_Int_Tables_number 123
_symmetry_space_group_name_Hall '-P 4 2'
_cell_length_a 5.0114
_cell_length_b 5.0114
_cell_length_c 4.3729
_cell_angle_alpha 90.00
_cell_angle_beta 90.00
_cell_angle_gamma 90.00
loop_
_atom_site_label
_atom_site_fract_x
_atom_site_fract_y
_atom_site_fract_z
_atom_site_occupancy
Li1 0.0000 0.0000 0.0000 1
Ca1 0.0000 0.5000 0.5000 1
Mg1 0.5000 0.5000 0.0000 1
N1 0.5000 0.5000 0.5000 1
```

## Properties
As for the raw formation energy: -1.63 eV/f.u. For the total energy, the calculation gives -3.49 eV per atom. The density of states at the Fermi level comes out at 3.43 states/eV/cell. For the energy relative to the lowest polymorph listed for this composition, the calculation gives 0.000 eV per atom.